(1)
VASP calculation (PBEsol) on a relaxed structure of Sn2Os2F.

Output
Space-group type = I4/mmm, No. 139
Total DFT energy (no corrections) = -6.947 eV per atom
Theoretical density = 11.46 Mg/m³

Cell: 3.5945 3.5945 7.5816 Å, 103.71 103.71 90.00°
Last column: nearest neighbours and their distance in Å.
Fractional coordinates of all 5 atoms:
Os 0.2500 0.7500 0.5000  4 Os 2.54, 4 Sn 2.80
Os 0.7500 0.2500 0.5000  4 Os 2.54, 4 Sn 2.80
Sn 0.4005 0.4005 0.8009  4 Os 2.80, 1 Sn 2.84, 4 F 2.91
Sn 0.5995 0.5995 0.1991  4 Os 2.80, 1 Sn 2.84, 4 F 2.91
F 0.0000 0.0000 0.0000  8 Sn 2.91

---

(2)
VASP calculation (PBEsol) on a relaxed structure of TaOs2F.

Output
Space-group type = Fm-3m, No. 225
Total DFT energy (no corrections) = -9.348 eV per atom
Theoretical density = 16.83 Mg/m³

Cell: 4.3261 4.3261 4.3261 Å, 60.00 60.00 60.00°
Last column: nearest neighbours and their distance in Å.
Fractional coordinates of all 4 atoms:
F 0.0000 0.0000 0.0000  8 Os 2.65
Os 0.2500 0.2500 0.2500  4 Ta 2.65, 4 F 2.65
Os 0.7500 0.7500 0.7500  4 F 2.65, 4 Ta 2.65
Ta 0.5000 0.5000 0.5000  8 Os 2.65

---

(3)
VASP calculation (PBEsol) on a relaxed structure of Ta3OsF.

Output
Space-group type = Pm-3m, No. 221
Total DFT energy (no corrections) = -10.178 eV per atom
Theoretical density = 16.73 Mg/m³

Cell: 4.2105 4.2105 4.2105 Å, 90.00 90.00 90.00°
Last column: nearest neighbours and their distance in Å.
Fractional coordinates of all 5 atoms:
F 0.0000 0.0000 0.0000  6 Ta 2.11
Os 0.5000 0.5000 0.5000  12 Ta 2.98
Ta 0.0000 0.5000 0.0000  2 F 2.11
Ta 0.0000 0.0000 0.5000  2 F 2.11
Ta 0.5000 0.0000 0.0000  2 F 2.11

---

(4)
VASP calculation (PBEsol) on a relaxed structure of TcOsF2.

Output
Space-group type = R-3m, No. 166
Total DFT energy (no corrections) = -7.133 eV per atom
Theoretical density = 9.59 Mg/m³

Cell: 2.6016 2.6016 9.7523 Å, 82.33 82.33 60.00°
Last column: nearest neighbours and their distance in Å.
Fractional coordinates of all 4 atoms:
Os 0.5000 0.5000 0.5000  6 Os 2.60
Tc 0.0000 0.0000 0.0000  2 F 1.86
F 0.9356 0.9356 0.1931  1 Tc 1.86
F 0.0644 0.0644 0.8069  1 Tc 1.86

---

(5)
VASP calculation (PBEsol) on a relaxed structure of TcOsF3.

Output
Space-group type = Pm-3m, No. 221
Total DFT energy (no corrections) = -5.414 eV per atom
Theoretical density = 8.00 Mg/m³

Cell: 4.1544 4.1544 4.1544 Å, 90.00 90.00 90.00°
Last column: nearest neighbours and their distance in Å.
Fractional coordinates of all 5 atoms:
Os 0.0000 0.0000 0.0000  6 F 2.08
Tc 0.5000 0.5000 0.5000  12 F 2.94
F 0.0000 0.5000 0.0000  2 Os 2.08
F 0.0000 0.0000 0.5000  2 Os 2.08
F 0.5000 0.0000 0.0000  2 Os 2.08

---

(6)
VASP calculation (PBEsol) on a relaxed structure of Te2OsF.

Output
Space-group type = R-3m, No. 166
Total DFT energy (no corrections) = -5.124 eV per atom
Theoretical density = 10.48 Mg/m³

Cell: 3.0126 3.0126 9.5217 Å, 80.90 80.90 60.00°
Last column: nearest neighbours and their distance in Å.
Fractional coordinates of all 4 atoms:
Te 0.9087 0.9087 0.2739  1 Os 2.56, 3 F 2.74
Te 0.0913 0.0913 0.7261  1 Os 2.56, 3 F 2.74
Os 0.0000 0.0000 0.0000  2 Te 2.56
F 0.5000 0.5000 0.5000  6 Te 2.74, 6 F 3.01

---

(7)
VASP calculation (PBEsol) on a relaxed structure of Zn2OsF2.

Output
Space-group type = I4/mmm, No. 139
Total DFT energy (no corrections) = -3.988 eV per atom
Theoretical density = 9.16 Mg/m³

Cell: 4.5194 4.5194 4.5194 Å, 89.69 120.18 120.18°
Last column: nearest neighbours and their distance in Å.
Fractional coordinates of all 5 atoms:
Zn 0.5000 0.7500 0.2500  4 F 2.30
Zn 0.5000 0.2500 0.7500  4 F 2.30
Os 0.0000 0.0000 0.0000  2 F 2.08
F 0.0000 0.6761 0.6761  1 Os 2.08, 1 F 2.26, 4 Zn 2.30
F 0.0000 0.3239 0.3239  1 Os 2.08, 1 F 2.26, 4 Zn 2.30

---

(8)
VASP calculation (PBEsol) on a relaxed structure of Zn3OsF.

Output
Space-group type = Pm-3m, No. 221
Total DFT energy (no corrections) = -3.109 eV per atom
Theoretical density = 6.26 Mg/m³

Cell: 4.7545 4.7545 4.7545 Å, 90.00 90.00 90.00°
Last column: nearest neighbours and their distance in Å.
Fractional coordinates of all 5 atoms:
Zn 0.0000 0.5000 0.0000  2 Os 2.38
Zn 0.0000 0.0000 0.5000  2 Os 2.38
Zn 0.5000 0.0000 0.0000  2 Os 2.38
Os 0.0000 0.0000 0.0000  6 Zn 2.38
F 0.5000 0.5000 0.5000  12 Zn 3.36